one) First-principles (PBE) data for crystalline Tc2Ir3Rh3 at its relaxed geometry, as listed in the Alexandria database.

```
Tc2Ir3Rh3
1.0
4.929 -0.202 0.197
-0.197 4.929 0.197
0.203 0.202 4.929
Rh Tc Ir
3 2 3
Direct
0.725 0.000 0.725
0.275 0.725 0.000
0.000 0.275 0.275
0.278 0.278 0.722
0.722 0.722 0.278
0.500 0.202 0.202
0.202 0.798 0.500
0.798 0.500 0.798
```

ρ	15072	kg/m3
volume	119.1	Å³ per cell
magnetization	0.00	μB/f.u.

---

two) First-principles (PBE) data for crystalline Tc2Ir3Rh3 at its relaxed geometry, as listed in the Alexandria database.

```
Tc2Ir3Rh3
1.0
-2.213 0.000 3.185
1.359 -3.483 0.944
5.694 3.293 3.956
Tc Ir Rh
2 3 3
Direct
0.000 0.000 0.750
0.000 0.000 0.250
0.500 0.000 0.500
0.000 0.500 0.500
0.000 0.500 0.000
0.500 0.500 0.749
0.500 0.000 0.000
0.500 0.500 0.251
```

ρ	15645	kg/m3
volume	114.8	Å³ per cell
magnetization	0.00	μB/f.u.

---

Q: Which of them is the least stable? A: one).

---

one) First-principles (PBE) data for crystalline Te2IrRh2 at its relaxed geometry, as listed in the Alexandria database.

```
Te2IrRh2
1.0
4.390 0.000 0.000
0.000 4.390 0.000
2.195 2.195 5.324
Te Ir Rh
2 1 2
Direct
0.750 0.250 0.500
0.250 0.750 0.500
0.000 0.000 0.000
0.381 0.381 0.237
0.619 0.619 0.763
```

ρ	10571	kg/m3
volume	102.6	Å³ per cell
magnetization	0.00	μB/f.u.

---

two) First-principles (PBE) data for crystalline Te2IrRh2 at its relaxed geometry, as listed in the Alexandria database.

```
Te2IrRh2
1.0
-2.069 6.909 0.986
-6.962 -1.972 -0.791
-0.228 -0.550 3.378
Te Rh Ir
4 4 2
Direct
0.171 0.671 0.500
0.671 0.829 0.500
0.329 0.171 0.500
0.829 0.329 0.500
0.366 0.866 0.000
0.134 0.366 0.000
0.866 0.634 0.000
0.634 0.134 0.000
0.500 0.500 0.000
0.000 0.000 0.000
```

ρ	11935	kg/m3
volume	181.8	Å³ per cell
magnetization	0.00	μB/f.u.

---

Q: Which of them is the least stable? A: one).

---

one) First-principles (PBE) data for crystalline Te6Ir2Rh at its relaxed geometry, as listed in the Alexandria database.

```
Te6Ir2Rh
1.0
6.125 0.000 0.000
0.000 6.125 0.000
0.000 0.000 12.582
Rh Te Ir
2 12 4
Direct
0.000 0.000 0.500
0.500 0.500 0.000
0.806 0.194 0.000
0.693 0.693 0.167
0.194 0.806 0.000
0.193 0.807 0.667
0.694 0.694 0.500
0.807 0.193 0.667
0.307 0.307 0.833
0.807 0.193 0.333
0.693 0.693 0.833
0.193 0.807 0.333
0.307 0.307 0.167
0.306 0.306 0.500
0.500 0.500 0.334
0.000 0.000 0.834
0.500 0.500 0.666
0.000 0.000 0.166
```

ρ	8817	kg/m3
volume	472.0	Å³ per cell
magnetization	0.00	μB/f.u.

---

two) First-principles (PBE) data for crystalline Te6Ir2Rh at its relaxed geometry, as listed in the Alexandria database.

```
Te6Ir2Rh
1.0
5.435 0.000 0.000
0.000 10.345 -5.973
0.000 0.000 11.946
Te Ir Rh
18 6 3
Direct
0.266 0.571 0.785
0.249 0.888 0.112
0.734 0.785 0.215
0.266 0.215 0.785
0.751 0.112 0.224
0.266 0.215 0.429
0.272 0.903 0.451
0.728 0.451 0.903
0.272 0.549 0.097
0.751 0.112 0.888
0.751 0.776 0.888
0.734 0.429 0.215
0.728 0.097 0.549
0.272 0.549 0.451
0.728 0.451 0.549
0.249 0.224 0.112
0.734 0.785 0.571
0.249 0.888 0.776
0.000 0.337 0.000
0.000 0.000 0.337
0.000 0.663 0.000
0.000 0.000 0.663
0.000 0.337 0.337
0.000 0.663 0.663
0.510 0.667 0.333
0.490 0.333 0.667
0.000 0.000 0.000
```

ρ	9294	kg/m3
volume	671.6	Å³ per cell
magnetization	0.00	μB/f.u.

---

Q: Which of them is the least stable? A: one).

---

one) First-principles (PBE) data for crystalline ThIrRh2 at its relaxed geometry, as listed in the Alexandria database.

```
ThIrRh2
1.0
4.492 0.000 0.000
2.246 3.890 0.000
2.246 1.297 4.489
Rh Ir Th
2 1 1
Direct
0.796 0.796 0.612
0.204 0.204 0.388
0.500 0.500 0.500
0.000 0.000 0.000
```

ρ	13338	kg/m3
volume	78.4	Å³ per cell
magnetization	0.00	μB/f.u.

---

two) First-principles (PBE) data for crystalline ThIrRh2 at its relaxed geometry, as listed in the Alexandria database.

```
ThIrRh2
1.0
4.114 0.000 0.000
0.000 4.158 0.000
0.000 0.000 4.158
Rh Th Ir
2 1 1
Direct
0.000 0.000 0.500
0.000 0.500 0.000
0.500 0.000 0.000
0.500 0.500 0.500
```

ρ	14713	kg/m3
volume	71.1	Å³ per cell
magnetization	0.00	μB/f.u.

---

Q: Which of them is the least stable? A: one).

---

one) First-principles (PBE) data for crystalline YThIrRh at its relaxed geometry, as listed in the Alexandria database.

```
YThIrRh
1.0
-0.109 0.573 -3.777
-0.710 -4.258 -0.625
-5.230 0.554 2.169
Y Th Rh Ir
1 1 1 1
Direct
0.862 0.500 0.723
0.139 0.000 0.277
0.591 0.500 0.181
0.409 0.000 0.819
```

ρ	11452	kg/m3
volume	89.3	Å³ per cell
magnetization	0.00	μB/f.u.

---

two) First-principles (PBE) data for crystalline YThIrRh at its relaxed geometry, as listed in the Alexandria database.

```
YThIrRh
1.0
4.972 0.000 0.000
2.486 4.306 0.000
2.486 1.435 4.060
Y Rh Th Ir
1 1 1 1
Direct
0.750 0.750 0.750
0.000 0.000 0.000
0.250 0.250 0.250
0.500 0.500 0.500
```

ρ	11769	kg/m3
volume	86.9	Å³ per cell
magnetization	0.00	μB/f.u.

---

Q: Which of them is the least stable? A: two).

---

one) First-principles (PBE) data for crystalline ThZnIrRh at its relaxed geometry, as listed in the Alexandria database.

```
ThZnIrRh
1.0
4.735 0.000 0.000
2.367 4.101 0.000
2.367 1.367 3.866
Zn Ir Rh Th
1 1 1 1
Direct
0.250 0.250 0.250
0.000 0.000 0.000
0.500 0.500 0.500
0.750 0.750 0.750
```

ρ	13108	kg/m3
volume	75.1	Å³ per cell
magnetization	0.00	μB/f.u.

---

two) First-principles (PBE) data for crystalline ThZnIrRh at its relaxed geometry, as listed in the Alexandria database.

```
ThZnIrRh
1.0
-2.387 2.264 1.237
-0.320 -2.488 3.936
3.793 2.847 2.108
Zn Rh Ir Th
1 1 1 1
Direct
0.000 0.500 0.000
0.000 0.000 0.500
0.000 0.000 0.000
0.500 0.500 0.500
```

ρ	11559	kg/m3
volume	85.1	Å³ per cell
magnetization	0.00	μB/f.u.

---

Q: Which of them is the least stable? A: two).